Record 1
Compound: BaTaSe2
Source: Alexandria via LeMat-Bulk
Functional: PBE
Structure: optimized geometry

abc: 5.0429 5.0429 23.7815
angles: 90.00 90.00 120.00
Space group R-3m (No. 166, hexagonal axes)
Symmetry-distinct sites (fractional):
Ba 0.0000 0.0000 0.0000 [3 per cell]
Ta 0.0000 0.0000 0.5000 [3 per cell]
Se 0.0000 0.0000 0.3971 [6 per cell]

Record 2
Compound: TcSeBr2F
Source: Alexandria via LeMat-Bulk
Functional: PBE
Structure: optimized geometry

abc: 5.0728 5.0728 4.7286
angles: 90.00 90.00 90.00
Space group P4/mmm (No. 123)
Symmetry-distinct sites (fractional):
Tc 0.0000 0.0000 0.0000 [1 per cell]
Se 0.0000 0.0000 0.5000 [1 per cell]
Br 0.0000 0.5000 0.0000 [2 per cell]
F 0.5000 0.5000 0.5000 [1 per cell]

Record 3
Compound: CaSe
Source: Alexandria via LeMat-Bulk
Functional: PBE
Structure: optimized geometry

abc: 4.1422 4.1422 21.6839
angles: 90.00 90.00 120.00
Space group R3m (No. 160, hexagonal axes)
Symmetry-distinct sites (fractional):
Ca 0.0000 0.0000 0.0000 [3 per cell]
Ca 0.0000 0.0000 0.1693 [3 per cell]
Se 0.0000 0.0000 0.5832 [3 per cell]
Se 0.0000 0.0000 0.7530 [3 per cell]

Number 1: formation energy from raw total energies -0.2360 eV/atom, spin magnetization 7.2 Bohr magnetons per cell. Number 2: formation energy from raw total energies 0.0493 eV/atom, spin magnetization 0.8 Bohr magnetons per cell. Number 3: formation energy from raw total energies -1.9350 eV/atom, spin magnetization 0.0 Bohr magnetons per cell.